1.
A relaxed GdBiBrO2 crystal, computed with GGA-PBE.

The structure belongs to space group P2_1/m (No. 11); the cell edges are 6.915, 3.798 and 8.224 Å and the angles 90.00°, 107.56° and 90.00°. Symmetry generates all atoms from Gd at (0.164, 0.250, 0.416), Bi at (0.208, 0.250, 0.938), Br at (0.444, 0.750, 0.670), O at (0.014, 0.250, 0.631) and O at (0.061, 0.250, 0.134).

The total energy is -6.017 eV/atom.

2.
A relaxed AcNdZr crystal, computed with GGA-PBE.

The structure belongs to space group F-43m (No. 216); the cell edges are 7.626, 7.626 and 7.626 Å and the angles 90.00°, 90.00° and 90.00°. Symmetry generates all atoms from Ac at (0.000, 0.000, 0.000), Nd at (0.250, 0.250, 0.750) and Zr at (0.000, 0.000, 0.500).

The calculated formation energy is 0.93 eV per atom. Its excess energy over the best structure of this formula in the dataset is 0.000 eV per atom.

3.
A relaxed Ag2HgIBr3 crystal, computed with GGA-PBE.

The structure belongs to space group Cm (No. 8); the cell edges are 8.606, 8.690 and 6.304 Å and the angles 90.00°, 91.43° and 90.00°. Symmetry generates all atoms from Ag at (0.000, 0.249, 0.000), Hg at (0.245, 0.500, 0.503), I at (0.467, 0.000, 0.723), Br at (0.012, 0.000, 0.736) and Br at (0.253, 0.242, 0.263).

Its excess energy over the best structure of this formula in the dataset is 0.007 eV per atom.

What did the third record say?
A relaxed Ag2HgIBr3 crystal, computed with GGA-PBE.

The structure belongs to space group Cm (No. 8); the cell edges are 8.606, 8.690 and 6.304 Å and the angles 90.00°, 91.43° and 90.00°. Symmetry generates all atoms from Ag at (0.000, 0.249, 0.000), Hg at (0.245, 0.500, 0.503), I at (0.467, 0.000, 0.723), Br at (0.012, 0.000, 0.736) and Br at (0.253, 0.242, 0.263).

Its excess energy over the best structure of this formula in the dataset is 0.007 eV per atom.